Computed, not measured: a relaxed Tb6NdSm2Er crystal at the PBE-GGA level of DFT.

Results
As for the symmetry: C2/c. For the energy relative to the elements, the calculation gives 116 meV/atom.

Geometry as extended XYZ:
```
20
Lattice="-4.7053 6.0299 5.9256 -6.8914 -1.1077 -5.3882 1.3865 -6.0746 6.2393" Properties=species:S:1:pos:R:3 pbc="T T T"
Tb -0.0834 -4.3237 4.3241
Tb -4.7482 -3.0577 -0.0233
Tb -7.6489 -1.8056 -0.7448
Tb -4.7761 0.3787 -1.8569
Tb -4.8774 -0.0489 1.3538
Tb -7.5873 1.7820 0.0513
Tb -2.5613 0.6532 7.5215
Tb -5.3329 -1.1035 5.4229
Tb -2.6229 -2.9345 6.7254
Tb -10.1268 3.1712 2.4526
Tb -5.4342 -1.5312 8.6336
Tb -5.4620 1.9052 6.8000
Nd -7.8952 0.2961 -3.6643
Nd -2.3151 -1.4486 10.4410
Sm -6.7065 -2.3892 2.7448
Sm -8.2086 0.1153 6.9024
Sm -2.0017 -1.2678 -0.1257
Sm -3.5037 1.2368 4.0319
Er -3.1697 -2.5391 2.9732
Er -7.0405 1.3867 3.8035
```

---

Computed, not measured: a relaxed InB2I crystal at the PBE-GGA level of DFT.

Results
As for the symmetry: I-42d. The uncorrected formation energy is 1230 meV per atom.

Geometry as extended XYZ:
```
8
Lattice="5.4764 0.0000 0.0000 0.0000 5.4764 0.0000 2.7382 2.7382 5.4297" Properties=species:S:1:pos:R:3 pbc="T T T"
B 6.8455 6.7729 4.0722
B 1.4417 4.1073 1.3574
B 4.1073 4.1799 4.0722
B 4.0347 1.3691 1.3574
In 2.7382 5.4764 2.7148
In 2.7382 2.7382 0.0000
I 5.4764 2.7382 2.7148
I 0.0000 0.0000 0.0000
```

---

Computed, not measured: a relaxed CrRhSe2 crystal at the PBE-GGA level of DFT.

Results
As for the symmetry: Fmmm. The uncorrected formation energy is 50 meV per atom.

Geometry as extended XYZ:
```
4
Lattice="-4.3718 -0.3855 -1.3887 2.4069 -0.0492 -3.9236 -0.7342 -3.7750 -2.4642" Properties=species:S:1:pos:R:3 pbc="T T T"
Se 0.0000 0.0000 0.0000
Se -0.9825 -0.2173 -2.6561
Rh 0.8364 -1.9121 -3.1939
Cr -2.5530 -2.0802 -1.9264
```

---

Computed, not measured: a relaxed DyTcSb crystal at the PBE-GGA level of DFT.

Results
As for the symmetry: P4/nmm. The uncorrected formation energy is -487 meV per atom.

Geometry as extended XYZ:
```
6
Lattice="-3.6121 0.7212 2.6225 0.8672 -3.8268 2.2468 3.8572 3.4382 4.3673" Properties=species:S:1:pos:R:3 pbc="T T T"
Sb -0.9377 1.1346 2.2944
Sb 3.4225 0.7509 4.5076
Tc 0.0000 0.0000 0.0000
Tc -1.3725 -1.5528 2.4347
Dy 1.5553 -0.9136 2.3934
Dy 0.9295 2.7990 4.4085
```